Here is LiTl2PCl6 after structural relaxation from the Alexandria database. Energies are from PBE.

* magnetic moment: 0.000 μB/f.u.
* E_form (uncorrected): -901 kJ/mol of formula units
* uncorrected energy: -3.247 eV per atom

a b c (Å): 7.0809 7.0809 7.0809
angles (deg): 60.00 60.00 60.00
Positions (direct):
Li (0.0000, 0.0000, 0.0000)
Tl (0.2500, 0.2500, 0.2500)
Tl (0.7500, 0.7500, 0.7500)
P (0.5000, 0.5000, 0.5000)
Cl (0.2581, 0.2581, 0.7419)
Cl (0.2581, 0.7419, 0.2581)
Cl (0.2581, 0.7419, 0.7419)
Cl (0.7419, 0.2581, 0.2581)
Cl (0.7419, 0.2581, 0.7419)
Cl (0.7419, 0.7419, 0.2581)

Here is Ac6NiPt2Cl3 after structural relaxation from the Alexandria database. Energies are from PBE.

* magnetic moment: 0.000 μB/f.u.
* E_form (uncorrected): -1469 kJ/mol of formula units
* uncorrected energy: -5.273 eV per atom

a b c (Å): 10.3858 10.3858 9.3848
angles (deg): 108.19 108.19 24.51
Positions (direct):
Ac (0.0096, 0.0096, 0.2194)
Ac (0.3235, 0.3235, 0.4410)
Ac (0.3475, 0.3475, 0.8967)
Ac (0.6525, 0.6525, 0.1033)
Ac (0.6765, 0.6765, 0.5590)
Ac (0.9904, 0.9904, 0.7806)
Ni (0.5000, 0.5000, 0.0000)
Pt (0.1664, 0.1664, 0.3317)
Pt (0.8336, 0.8336, 0.6683)
Cl (0.1623, 0.1623, 0.8284)
Cl (0.5000, 0.5000, 0.5000)
Cl (0.8377, 0.8377, 0.1716)

Here is Zn2CrCu after structural relaxation from the Alexandria database. Energies are from PBE.

* magnetic moment: 0.002 μB/f.u.
* uncorrected energy: -3.904 eV per atom
* calculated formation energy: 163.1 meV/atom

a b c (Å): 4.8010 4.8010 2.4699
angles (deg): 94.92 94.92 112.74
Positions (direct):
Zn (0.0000, 0.5000, 0.0000)
Zn (0.5000, 0.0000, 0.0000)
Cr (0.0000, 0.0000, 0.5000)
Cu (0.5000, 0.5000, 0.5000)